Compound: Bi14MoO24
Source: Alexandria via LeMat-Bulk
Functional: GGA+U
Structure: relaxed

Output
D(E_F): 0.0 states/eV/f.u.
E: -230.6 eV per formula unit
spin magnetization: 0.00 μB per cell

Cell and atoms, written as extended XYZ:
```
39
Lattice="8.872 0.062 -0.004 -0.017 8.891 0.015 -4.386 -4.445 8.646" Properties=species:S:1:pos:R:3 pbc="T T T"
O 6.653 0.836 4.262
O 5.980 3.448 1.394
Bi 1.756 3.538 5.642
Bi 3.461 -1.671 5.659
Bi -2.482 -0.407 8.591
Bi 0.075 0.043 5.895
O 2.194 5.176 4.173
Mo 4.412 4.414 8.428
Bi 5.407 1.878 5.651
Bi -1.774 5.489 5.704
O -0.080 4.503 2.022
O 6.618 3.851 4.287
O 1.538 0.435 0.397
O 4.424 0.086 2.003
O 3.760 2.373 4.200
Bi -1.037 2.698 2.910
O -0.680 -2.151 4.326
O 5.134 -2.109 4.226
O 2.794 5.613 1.315
O 5.507 6.175 1.333
O 2.173 -0.572 4.356
O 0.671 2.259 4.329
O -1.591 1.172 7.248
Bi 2.648 1.074 2.866
O -1.066 -1.533 7.258
Bi 4.932 1.988 0.014
Bi 0.911 6.263 2.848
O 4.441 4.592 6.636
Bi -0.459 2.609 8.611
O 8.545 7.122 0.200
O 0.003 4.505 6.572
O 7.482 0.966 0.451
Bi 6.203 -0.873 2.860
O 1.122 1.683 7.256
O 1.620 -1.033 7.255
O 3.314 2.942 1.363
Bi 4.374 4.510 2.748
Bi 6.961 5.035 0.020
O 4.463 0.071 6.537
```